# Hg3SbCl, relaxed, DFT PBE
# E_tot (eV for the cell shown): -7.3
# Formation energy without anion corrections (eV per atom): -0.0947
# ΔE to the lowest computed polymorph (meV per atom): 66
data_Hg3SbCl
_cell_length_a 5.6523
_cell_length_b 5.6523
_cell_length_c 5.6523
_cell_angle_alpha 90.00
_cell_angle_beta 90.00
_cell_angle_gamma 90.00
_symmetry_space_group_name_H-M 'P m -3 m'
_symmetry_Int_Tables_number 221
_symmetry_space_group_name_Hall '-P 4 2 3'
loop_
_atom_site_label
_atom_site_fract_x
_atom_site_fract_y
_atom_site_fract_z
Hg1 0.0000 0.0000 0.5000
Sb1 0.0000 0.0000 0.0000
Cl1 0.5000 0.5000 0.5000



# Hg3Sb2Cl2, relaxed, DFT PBE
# E_tot (eV for the cell shown): -14.4
# Formation energy without anion corrections (eV per atom): -0.2179
# ΔE to the lowest computed polymorph (meV per atom): 7
data_Hg3Sb2Cl2
_cell_length_a 4.4552
_cell_length_b 7.0972
_cell_length_c 7.8412
_cell_angle_alpha 105.54
_cell_angle_beta 90.75
_cell_angle_gamma 107.95
_symmetry_space_group_name_H-M 'P -1'
_symmetry_Int_Tables_number 2
_symmetry_space_group_name_Hall '-P 1'
loop_
_atom_site_label
_atom_site_fract_x
_atom_site_fract_y
_atom_site_fract_z
Hg1 0.0000 0.0000 0.0000
Hg2 0.2695 0.5095 0.7362
Sb1 0.3963 0.7667 0.0703
Cl1 0.1302 0.2620 0.4369



# Hg2SbCl, relaxed, DFT PBE
# E_tot (eV for the cell shown): -20.4
# Formation energy without anion corrections (eV per atom): -0.0588
# ΔE to the lowest computed polymorph (meV per atom): 198
data_Hg2SbCl
_cell_length_a 4.3367
_cell_length_b 4.3367
_cell_length_c 21.5066
_cell_angle_alpha 90.00
_cell_angle_beta 90.00
_cell_angle_gamma 120.00
_symmetry_space_group_name_H-M 'R 3 m'
_symmetry_Int_Tables_number 160
_symmetry_space_group_name_Hall 'R 3 -2"'
loop_
_atom_site_label
_atom_site_fract_x
_atom_site_fract_y
_atom_site_fract_z
Hg1 0.0000 0.0000 0.0000
Hg2 0.0000 0.0000 0.1860
Sb1 0.0000 0.0000 0.5921
Cl1 0.0000 0.0000 0.4163